Record 1
# Sr3Ge5I12 | Alexandria via LeMat-Bulk | PBE-GGA | relaxed
# - Crystal system: cubic
# - Volume: 6857.36 Å³ per cell
# - N(E_F): 0.565 states/eV/atom
# - VASP energy: -452.81 eV per cell
# - E_form (uncorrected): -0.493 eV per atom
data_Sr3Ge5I12
_space_group_name_H-M_alt 'I a -3 d'
_space_group_IT_number 230
_space_group_name_Hall '-I 4bd 2c 3'
_cell_length_a 18.998
_cell_length_b 18.998
_cell_length_c 18.998
_cell_angle_alpha 90.00
_cell_angle_beta 90.00
_cell_angle_gamma 90.00
loop_
_atom_site_label
_atom_site_type_symbol
_atom_site_fract_x
_atom_site_fract_y
_atom_site_fract_z
Sr1 Sr 0.000 0.250 0.125
Ge1 Ge 0.000 0.000 0.000
Ge2 Ge 0.000 0.250 0.375
I1 I 0.021 0.063 0.651


Record 2
# SrGeI2 | Alexandria via LeMat-Bulk | PBE-GGA | relaxed
# - Relative energy among the computed polymorphs: 18.5 meV per atom
# - Crystal system: tetragonal
# - Volume: 645.66 Å³ per cell
# - N(E_F): 0.050 states/eV/atom
# - VASP energy: -45.04 eV per cell
# - E_form (uncorrected): -0.465 eV per atom
data_SrGeI2
_space_group_name_H-M_alt 'I -4 2 d'
_space_group_IT_number 122
_space_group_name_Hall 'I -4 2bw'
_cell_length_a 5.638
_cell_length_b 5.638
_cell_length_c 20.309
_cell_angle_alpha 90.00
_cell_angle_beta 90.00
_cell_angle_gamma 90.00
loop_
_atom_site_label
_atom_site_type_symbol
_atom_site_fract_x
_atom_site_fract_y
_atom_site_fract_z
Sr1 Sr 0.000 0.000 0.000
Ge1 Ge 0.000 0.000 0.500
I1 I 0.228 0.250 0.625


Record 3
# Sr2GeI2 | Alexandria via LeMat-Bulk | PBE-GGA | relaxed
# - Crystal system: tetragonal
# - Volume: 391.35 Å³ per cell
# - N(E_F): 0.021 states/eV/atom
# - VASP energy: -29.15 eV per cell
# - E_form (uncorrected): -0.698 eV per atom
data_Sr2GeI2
_space_group_name_H-M_alt 'I 4/m m m'
_space_group_IT_number 139
_space_group_name_Hall '-I 4 2'
_cell_length_a 6.379
_cell_length_b 6.379
_cell_length_c 9.616
_cell_angle_alpha 90.00
_cell_angle_beta 90.00
_cell_angle_gamma 90.00
loop_
_atom_site_label
_atom_site_type_symbol
_atom_site_fract_x
_atom_site_fract_y
_atom_site_fract_z
Sr1 Sr 0.000 0.500 0.250
Ge1 Ge 0.000 0.000 0.000
I1 I 0.000 0.000 0.319


Record 4
# Sr2GeI2 | Alexandria via LeMat-Bulk | PBE-GGA | relaxed
# - Crystal system: tetragonal
# - Volume: 355.55 Å³ per cell
# - N(E_F): 0.572 states/eV/atom
# - VASP energy: -28.66 eV per cell
# - E_form (uncorrected): -0.650 eV per atom
data_Sr2GeI2
_space_group_name_H-M_alt 'P 4/m b m'
_space_group_IT_number 127
_space_group_name_Hall '-P 4 2ab'
_cell_length_a 9.444
_cell_length_b 9.444
_cell_length_c 3.986
_cell_angle_alpha 90.00
_cell_angle_beta 90.00
_cell_angle_gamma 90.00
loop_
_atom_site_label
_atom_site_type_symbol
_atom_site_fract_x
_atom_site_fract_y
_atom_site_fract_z
Sr1 Sr 0.175 0.325 0.000
Ge1 Ge 0.000 0.000 0.500
I1 I 0.130 0.630 0.500


Record 5
# Sr5Ge2I2 | Alexandria via LeMat-Bulk | PBE-GGA | relaxed
# - Crystal system: orthorhombic
# - Volume: 1364.83 Å³ per cell
# - N(E_F): 0.082 states/eV/atom
# - VASP energy: -115.99 eV per cell
# - E_form (uncorrected): -0.917 eV per atom
data_Sr5Ge2I2
_space_group_name_H-M_alt 'C m c e'
_space_group_IT_number 64
_space_group_name_Hall '-C 2ac 2'
_cell_length_a 16.800
_cell_length_b 9.004
_cell_length_c 9.022
_cell_angle_alpha 90.00
_cell_angle_beta 90.00
_cell_angle_gamma 90.00
loop_
_atom_site_label
_atom_site_type_symbol
_atom_site_fract_x
_atom_site_fract_y
_atom_site_fract_z
Sr1 Sr 0.000 0.000 0.000
Sr2 Sr 0.109 0.144 0.357
Ge1 Ge 0.000 0.160 0.660
I1 I 0.209 0.000 0.000


Record 6
# Sr4GeI4 | Alexandria via LeMat-Bulk | PBE-GGA | relaxed
# - Crystal system: monoclinic
# - Volume: 767.35 Å³ per cell
# - VASP energy: -59.55 eV per cell
# - E_form (uncorrected): -1.359 eV per atom
data_Sr4GeI4
_space_group_name_H-M_alt 'C 1 2/m 1'
_space_group_IT_number 12
_space_group_name_Hall '-C 2y'
_cell_length_a 16.105
_cell_length_b 4.744
_cell_length_c 11.607
_cell_angle_alpha 90.00
_cell_angle_beta 120.08
_cell_angle_gamma 90.00
loop_
_atom_site_label
_atom_site_type_symbol
_atom_site_fract_x
_atom_site_fract_y
_atom_site_fract_z
Sr1 Sr 0.080 0.000 0.409
Sr2 Sr 0.182 0.500 0.773
Ge1 Ge 0.000 0.500 0.500
I1 I 0.114 0.000 0.915
I2 I 0.196 0.500 0.301